# 1
Entry from the Open Quantum Materials Database: a relaxed structure of CoNi (GGA-PBE).

Summary:
The value obtained for the size of the total moment is 1.1842 μB/atom. For the energy of formation from the pure elements, the calculation gives 0.217 eV per atom.

Structure (CIF):
```
data_CoNi
_chemical_formula_sum 'Co12 Ni12'
_cell_length_a 4.5724
_cell_length_b 4.5724
_cell_length_c 14.9635
_cell_angle_alpha 90.00
_cell_angle_beta 90.00
_cell_angle_gamma 120.00
_symmetry_space_group_name_H-M 'P 63/m m c'
_symmetry_Int_Tables_number 194
_symmetry_space_group_name_Hall '-P 6c 2c'
loop_
_atom_site_label
_atom_site_type_symbol
_atom_site_fract_x
_atom_site_fract_y
_atom_site_fract_z
Co1 Co 0.0000 0.0000 0.0900
Co2 Co 0.3333 0.6667 0.1270
Co3 Co 0.3333 0.6667 0.6524
Ni1 Ni 0.0000 0.5000 0.0000
Ni2 Ni 0.1627 0.3253 0.2500
```

---

# 2
Entry from the Open Quantum Materials Database: a relaxed structure of BeZnNiAs (GGA-PBE).

Summary:
For the energy above the most stable polymorph in this dataset, the calculation gives 0.000 eV/f.u. The value obtained for the size of the total moment is 0.0007 μB/atom.

Structure (CIF):
```
data_BeZnNiAs
_chemical_formula_sum 'Be4 Zn4 Ni4 As4'
_cell_length_a 5.922
_cell_length_b 5.922
_cell_length_c 5.922
_cell_angle_alpha 90.00
_cell_angle_beta 90.00
_cell_angle_gamma 90.00
_symmetry_space_group_name_H-M 'F -4 3 m'
_symmetry_Int_Tables_number 216
_symmetry_space_group_name_Hall 'F -4 2 3'
loop_
_atom_site_label
_atom_site_type_symbol
_atom_site_fract_x
_atom_site_fract_y
_atom_site_fract_z
Be1 Be 0.000 0.000 0.000
Zn1 Zn 0.250 0.250 0.750
Ni1 Ni 0.000 0.000 0.500
As1 As 0.250 0.250 0.250
```

---

# 3
Entry from the Open Quantum Materials Database: a relaxed structure of Cu7Ag3 (GGA-PBE).

Summary:
For the energy above the most stable polymorph in this dataset, the calculation gives 0.398 eV/f.u. For the energy of formation from the pure elements, the calculation gives 0.085 eV per atom.

Structure (CIF):
```
data_Cu7Ag3
_chemical_formula_sum 'Cu7 Ag3'
_cell_length_a 6.060
_cell_length_b 3.722
_cell_length_c 6.062
_cell_angle_alpha 90.00
_cell_angle_beta 90.36
_cell_angle_gamma 90.00
_symmetry_space_group_name_H-M 'P 1 2/m 1'
_symmetry_Int_Tables_number 10
loop_
_symmetry_equiv_pos_as_xyz
'x,y,z'
'-x,-y,-z'
'-x,y,-z'
'x,-y,z'
loop_
_atom_site_label
_atom_site_type_symbol
_atom_site_fract_x
_atom_site_fract_y
_atom_site_fract_z
Cu1 Cu 0.000 0.000 0.000
Cu2 Cu 0.097 0.500 0.690
Cu3 Cu 0.184 0.000 0.405
Cu4 Cu 0.384 0.000 0.793
Ag1 Ag 0.291 0.500 0.095
Ag2 Ag 0.500 0.500 0.500
```

---

no.,E (eV/atom)
1,-6.120
2,-3.606
3,-3.365